! LiBe2W, optimized geometry, DFT PBE; values from VASP
&SYSTEM
  ibrav = 0, nat = 4, ntyp = 3
/
ATOMIC_SPECIES
Be 9.01 Be.upf
Li 6.94 Li.upf
W 183.84 W.upf
CELL_PARAMETERS angstrom
4.722 0.000 -0.005
2.198 4.180 0.005
-3.005 -2.843 2.277
ATOMIC_POSITIONS crystal
Be 0.986 0.986 0.000
Be 0.514 0.514 0.000
Li 0.750 0.250 0.500
W 0.250 0.750 0.500
! Formation enthalpy at 0 K in eV/atom: 0.5380
! Space group: Immm, No. 71
! Excess energy over the best structure of this formula in the dataset in meV/atom: 363.4
! Fermi-level density of states in states/eV per atom: 0.51